# Mo3Pd5

A geometry-optimized Mo3Pd5 structure (PBE, the Alexandria database).

Energy relative to the elements in meV/atom: -23

The structure in extended XYZ format:
```
8
Lattice="3.895 0.000 0.000 0.000 5.592 0.000 0.000 0.000 5.692" Properties=species:S:1:pos:R:3 pbc="T T T"
Mo 0.000 0.000 0.000
Mo 1.948 1.267 1.433
Mo 1.948 4.326 1.433
Pd 0.000 0.000 2.902
Pd 0.000 2.796 0.102
Pd 0.000 2.796 2.845
Pd 1.948 1.384 4.333
Pd 1.948 4.209 4.333
```